No. 1
A crystal of YGaNi relaxed with PBEsol. Source: the Alexandria database, functional meta-GGA SCAN.

formation energy = -0.73 eV/atom

a = 4.2371 Å, b = 6.7633 Å, c = 7.2271 Å
α = 90.00°, β = 90.00°, γ = 90.00°
With the nearest neighbours (Å) after each atom.
Sites, in units of the cell vectors:
Ga 0.2500 0.1730 0.9226  4 Ni 2.47-2.59
Ga 0.7500 0.8270 0.0774  4 Ni 2.47-2.59
Ga 0.2500 0.6730 0.5774  4 Ni 2.47-2.59
Ga 0.7500 0.3270 0.4226  4 Ni 2.47-2.59
Ni 0.7500 0.2096 0.0963  4 Ga 2.47-2.59
Ni 0.7500 0.7096 0.4037  4 Ga 2.47-2.59
Ni 0.2500 0.2904 0.5963  4 Ga 2.47-2.59
Ni 0.2500 0.7904 0.9037  4 Ga 2.47-2.59
Y 0.2500 0.0193 0.3059  5 Ni 2.79-3.06, 6 Ga 2.96-3.09
Y 0.7500 0.9807 0.6941  5 Ni 2.79-3.06, 6 Ga 2.96-3.09
Y 0.2500 0.5193 0.1941  5 Ni 2.79-3.06, 6 Ga 2.96-3.09
Y 0.7500 0.4807 0.8059  5 Ni 2.79-3.06, 6 Ga 2.96-3.09



No. 2
A crystal of ZnGaNi2 relaxed with PBEsol. Source: the Alexandria database, functional meta-GGA SCAN.

formation energy = -0.32 eV/atom

a = 4.0390 Å, b = 4.0390 Å, c = 4.0390 Å
α = 60.00°, β = 60.00°, γ = 60.00°
With the nearest neighbours (Å) after each atom.
Sites, in units of the cell vectors:
Zn 0.5000 0.5000 0.5000  8 Ni 2.47
Ni 0.2500 0.2500 0.2500  4 Ga 2.47, 4 Zn 2.47
Ni 0.7500 0.7500 0.7500  4 Zn 2.47, 4 Ga 2.47
Ga 0.0000 0.0000 0.0000  8 Ni 2.47



No. 3
A crystal of Zn2GaNi2 relaxed with PBEsol. Source: the Alexandria database, functional meta-GGA SCAN.

formation energy = -0.17 eV/atom

a = 3.4381 Å, b = 6.1207 Å, c = 6.1207 Å
α = 90.00°, β = 90.00°, γ = 90.00°
With the nearest neighbours (Å) after each atom.
Sites, in units of the cell vectors:
Ga 0.0000 0.0000 0.0000  4 Ni 2.35
Ga 0.0000 0.5000 0.5000  4 Ni 2.35
Ni 0.0000 0.1449 0.3551  2 Ga 2.35, 6 Zn 2.45-2.50, 1 Ni 2.51
Ni 0.0000 0.6449 0.1449  2 Ga 2.35, 6 Zn 2.45-2.50, 1 Ni 2.51
Ni 0.0000 0.8551 0.6449  2 Ga 2.35, 6 Zn 2.45-2.50, 1 Ni 2.51
Ni 0.0000 0.3551 0.8551  2 Ga 2.35, 6 Zn 2.45-2.50, 1 Ni 2.51
Zn 0.5000 0.1527 0.6527  6 Ni 2.45-2.50, 1 Zn 2.64
Zn 0.5000 0.3473 0.1527  6 Ni 2.45-2.50, 1 Zn 2.64
Zn 0.5000 0.8473 0.3473  6 Ni 2.45-2.50, 1 Zn 2.64
Zn 0.5000 0.6527 0.8473  6 Ni 2.45-2.50, 1 Zn 2.64



No. 4
A crystal of Zn2GaNi2 relaxed with PBEsol. Source: the Alexandria database, functional meta-GGA SCAN.

formation energy = 0.03 eV/atom

a = 3.3165 Å, b = 3.3165 Å, c = 6.4832 Å
α = 104.82°, β = 104.82°, γ = 90.00°
With the nearest neighbours (Å) after each atom.
Sites, in units of the cell vectors:
Zn 0.7500 0.2500 0.5000  4 Zn 2.35, 4 Ni 2.50
Zn 0.2500 0.7500 0.5000  4 Zn 2.35, 4 Ni 2.50
Ni 0.4050 0.4050 0.8100  1 Ni 2.30, 4 Zn 2.50
Ni 0.5950 0.5950 0.1900  1 Ni 2.30, 4 Zn 2.50
Ga 0.0000 0.0000 0.0000  8 Ni 2.61



No. 5
A crystal of Zr2Ga2Ni relaxed with PBEsol. Source: the Alexandria database, functional meta-GGA SCAN.

formation energy = -0.66 eV/atom

a = 4.1903 Å, b = 6.3279 Å, c = 6.3279 Å
α = 90.00°, β = 90.00°, γ = 90.00°
With the nearest neighbours (Å) after each atom.
Sites, in units of the cell vectors:
Zr 0.5000 0.8282 0.3282  6 Ga 2.69-2.89
Zr 0.5000 0.6718 0.8282  6 Ga 2.69-2.89
Zr 0.5000 0.3282 0.1718  6 Ga 2.69-2.89
Zr 0.5000 0.1718 0.6718  6 Ga 2.69-2.89
Ga 0.0000 0.8598 0.6402  2 Ni 2.44, 1 Ga 2.51, 2 Zr 2.69
Ga 0.0000 0.1402 0.3598  2 Ni 2.44, 1 Ga 2.51, 2 Zr 2.69
Ga 0.0000 0.3598 0.8598  2 Ni 2.44, 1 Ga 2.51, 2 Zr 2.69
Ga 0.0000 0.6402 0.1402  2 Ni 2.44, 1 Ga 2.51, 2 Zr 2.69
Ni 0.0000 0.0000 0.0000  4 Ga 2.44
Ni 0.0000 0.5000 0.5000  4 Ga 2.44



No. 6
A crystal of ZrGaNi relaxed with PBEsol. Source: the Alexandria database, functional meta-GGA SCAN.

formation energy = -0.76 eV/atom

a = 3.4214 Å, b = 6.8036 Å, c = 6.8036 Å
α = 120.00°, β = 90.00°, γ = 90.00°
With the nearest neighbours (Å) after each atom.
Sites, in units of the cell vectors:
Ni 0.0000 0.3333 0.6667  3 Ga 2.56, 6 Zr 2.69
Ni 0.0000 0.6667 0.3333  3 Ga 2.56, 6 Zr 2.69
Ni 0.5000 0.0000 0.0000  6 Ga 2.46, 3 Zr 2.75
Zr 0.5000 0.5962 0.0000  5 Ni 2.69-2.75, 6 Ga 2.86-2.96
Zr 0.5000 0.0000 0.5962  5 Ni 2.69-2.75, 6 Ga 2.86-2.96
Zr 0.5000 0.4038 0.4038  5 Ni 2.69-2.75, 6 Ga 2.86-2.96
Ga 0.0000 0.2590 0.0000  4 Ni 2.46-2.56
Ga 0.0000 0.0000 0.2590  4 Ni 2.46-2.56
Ga 0.0000 0.7410 0.7410  4 Ni 2.46-2.56



No. 7
A crystal of ZrGa2Ni relaxed with PBEsol. Source: the Alexandria database, functional meta-GGA SCAN.

formation energy = -0.69 eV/atom

a = 8.0163 Å, b = 9.5319 Å, c = 9.5319 Å
α = 79.82°, β = 65.13°, γ = 65.13°
With the nearest neighbours (Å) after each atom.
Sites, in units of the cell vectors:
Ni 0.2666 0.2170 0.2170  6 Ga 2.41-2.60, 1 Zr 2.66
Ni 0.1348 0.6749 0.0000  5 Ga 2.44-2.58, 1 Zr 2.67
Ni 0.1348 0.0000 0.6749  5 Ga 2.44-2.58, 1 Zr 2.67
Ni 0.8096 0.0000 0.3251  5 Ga 2.44-2.58, 1 Zr 2.67
Ni 0.8096 0.3251 0.0000  5 Ga 2.44-2.58, 1 Zr 2.67
Ni 0.8993 0.5000 0.5000  8 Ga 2.46-2.50
Ni 0.3993 0.5000 0.5000  8 Ga 2.46-2.50
Ni 0.4836 0.7830 0.2170  6 Ga 2.41-2.60, 1 Zr 2.66
Ni 0.7006 0.7830 0.7830  6 Ga 2.41-2.60, 1 Zr 2.66
Ni 0.4836 0.2170 0.7830  6 Ga 2.41-2.60, 1 Zr 2.66
Zr 0.5076 0.0000 0.0000  4 Ni 2.66, 4 Ga 2.90
Zr 0.1282 0.7137 0.2863  9 Ga 2.79-3.08, 3 Ni 2.79-2.97
Zr 0.8400 0.5937 0.0000  4 Ni 2.67-2.78, 6 Ga 2.82-2.84
Zr 0.8400 0.0000 0.5937  4 Ni 2.67-2.78, 6 Ga 2.82-2.84
Zr 0.4337 0.0000 0.4063  4 Ni 2.67-2.78, 6 Ga 2.82-2.84
Zr 0.4337 0.4063 0.0000  4 Ni 2.67-2.78, 6 Ga 2.82-2.84
Zr 0.4145 0.7137 0.7137  9 Ga 2.79-3.08, 3 Ni 2.79-2.97
Zr 0.0657 0.0000 0.0000  4 Ni 2.91, 8 Ga 2.92
Zr 0.1282 0.2863 0.7137  9 Ga 2.79-3.08, 3 Ni 2.79-2.97
Zr 0.8420 0.2863 0.2863  9 Ga 2.79-3.08, 3 Ni 2.79-2.97
Ga 0.7955 0.8403 0.1597  3 Ni 2.44-2.60
Ga 0.0331 0.2110 0.4931  3 Ni 2.50-2.52, 3 Ga 2.64-2.78
Ga 0.7372 0.5069 0.7890  3 Ni 2.50-2.52, 3 Ga 2.64-2.78
Ga 0.2441 0.4931 0.7890  3 Ni 2.50-2.52, 3 Ga 2.64-2.78
Ga 0.4219 0.0000 0.7328  3 Ni 2.48-2.58
Ga 0.9552 0.8403 0.8403  3 Ni 2.44-2.60
Ga 0.1547 0.2672 0.0000  3 Ni 2.48-2.58
Ga 0.5262 0.2110 0.5069  3 Ni 2.50-2.52, 3 Ga 2.64-2.78
Ga 0.6481 0.6176 0.3824  3 Ni 2.41-2.47, 2 Ga 2.64
Ga 0.4219 0.7328 0.0000  3 Ni 2.48-2.58
Ga 0.2441 0.7890 0.4931  3 Ni 2.50-2.52, 3 Ga 2.64-2.78
Ga 0.6358 0.1597 0.1597  3 Ni 2.44-2.60
Ga 0.6481 0.3824 0.6176  3 Ni 2.41-2.47, 2 Ga 2.64
Ga 0.7372 0.7890 0.5069  3 Ni 2.50-2.52, 3 Ga 2.64-2.78
Ga 0.0304 0.6176 0.6176  3 Ni 2.41-2.47, 2 Ga 2.64
Ga 0.7955 0.1597 0.8403  3 Ni 2.44-2.60
Ga 0.2657 0.3824 0.3824  3 Ni 2.41-2.47, 2 Ga 2.64
Ga 0.5262 0.5069 0.2110  3 Ni 2.50-2.52, 3 Ga 2.64-2.78
Ga 0.0331 0.4931 0.2110  3 Ni 2.50-2.52, 3 Ga 2.64-2.78
Ga 0.1547 0.0000 0.2672  3 Ni 2.48-2.58



No. 8
A crystal of Zr2Ga3Ni relaxed with PBEsol. Source: the Alexandria database, functional meta-GGA SCAN.

formation energy = -0.72 eV/atom

a = 4.1200 Å, b = 5.2733 Å, c = 5.3178 Å
α = 75.59°, β = 67.21°, γ = 67.00°
With the nearest neighbours (Å) after each atom.
Sites, in units of the cell vectors:
Ga 0.8535 0.6186 0.6744  1 Ni 2.36, 2 Ga 2.50
Ga 0.1617 0.7827 0.8939  3 Ga 2.50-2.54, 1 Ni 2.52
Ga 0.8226 0.2153 0.1395  2 Ni 2.35, 1 Ga 2.54
Zr 0.4574 0.7879 0.2972  8 Ga 2.83-2.97, 3 Ni 2.84-2.91
Zr 0.5368 0.2067 0.7198  9 Ga 2.84-3.02, 3 Ni 2.96-3.06
Ni 0.1681 0.3888 0.2751  4 Ga 2.35-2.52



No. 9
A crystal of NpGa5Rh relaxed with PBEsol. Source: the Alexandria database, functional meta-GGA SCAN.

formation energy = -0.41 eV/atom

a = 4.2382 Å, b = 4.2382 Å, c = 6.7832 Å
α = 90.00°, β = 90.00°, γ = 90.00°
With the nearest neighbours (Å) after each atom.
Sites, in units of the cell vectors:
Ga 0.5000 0.0000 0.2990  2 Rh 2.52, 1 Ga 2.73
Ga 0.5000 0.5000 0.0000  8 Ga 2.93, 4 Np 3.00
Ga 0.0000 0.5000 0.7010  2 Rh 2.52, 1 Ga 2.73
Ga 0.5000 0.0000 0.7010  2 Rh 2.52, 1 Ga 2.73
Ga 0.0000 0.5000 0.2990  2 Rh 2.52, 1 Ga 2.73
Np 0.0000 0.0000 0.0000  12 Ga 2.93-3.00
Rh 0.0000 0.0000 0.5000  8 Ga 2.52



No. 10
A crystal of Ga2O3 relaxed with PBEsol. Source: the Alexandria database, functional meta-GGA SCAN.

ΔE_f (raw) = -2047 meV/atom

a = 5.0045 Å, b = 5.0045 Å, c = 5.3351 Å
α = 62.03°, β = 62.03°, γ = 60.00°
With the nearest neighbours (Å) after each atom.
Sites, in units of the cell vectors:
Ga 0.1441 0.1441 0.5677  6 O 1.93-2.08
Ga 0.6441 0.6441 0.0677  6 O 1.93-2.08
Ga 0.8559 0.8559 0.4323  6 O 1.93-2.08
Ga 0.3559 0.3559 0.9323  6 O 1.93-2.08
O 0.2500 0.9471 0.2500  4 Ga 1.93-2.08
O 0.9471 0.5529 0.2500  4 Ga 1.93-2.08
O 0.0529 0.4471 0.7500  4 Ga 1.93-2.08
O 0.4471 0.7500 0.7500  4 Ga 1.93-2.08
O 0.7500 0.0529 0.7500  4 Ga 1.93-2.08
O 0.5529 0.2500 0.2500  4 Ga 1.93-2.08



No. 11
A crystal of Ga2O3 relaxed with PBEsol. Source: the Alexandria database, functional meta-GGA SCAN.

ΔE_f (raw) = -2066 meV/atom

a = 3.0494 Å, b = 5.8112 Å, c = 6.3251 Å
α = 103.30°, β = 103.95°, γ = 90.00°
With the nearest neighbours (Å) after each atom.
Sites, in units of the cell vectors:
O 0.1732 0.5628 0.3464  4 Ga 1.87-2.08
O 0.1652 0.1091 0.3303  3 Ga 1.84-1.95
O 0.8268 0.4372 0.6536  4 Ga 1.87-2.08
O 0.8348 0.8909 0.6697  3 Ga 1.84-1.95
O 0.4962 0.2560 0.9925  3 Ga 1.84-1.94
O 0.5038 0.7440 0.0075  3 Ga 1.84-1.94
Ga 0.9096 0.2050 0.8193  4 O 1.84-1.87
Ga 0.6587 0.3140 0.3174  6 O 1.94-2.08
Ga 0.0904 0.7950 0.1807  4 O 1.84-1.87
Ga 0.3413 0.6860 0.6826  6 O 1.94-2.08



No. 12
A crystal of GaPO4 relaxed with PBEsol. Source: the Alexandria database, functional meta-GGA SCAN.

ΔE_f (raw) = -2346 meV/atom

a = 4.9200 Å, b = 4.9200 Å, c = 11.0991 Å
α = 90.00°, β = 90.00°, γ = 120.00°
With the nearest neighbours (Å) after each atom.
Sites, in units of the cell vectors:
O 0.6819 0.0887 0.3917  1 P 1.54
O 0.7261 0.1344 0.8717  1 P 1.54
O 0.4068 0.3181 0.0584  1 P 1.54
O 0.3181 0.4068 0.2750  1 P 1.54
O 0.8656 0.5917 0.2050  1 P 1.54
O 0.4083 0.2739 0.5384  1 P 1.54
O 0.0887 0.6819 0.9416  1 P 1.54
O 0.5932 0.9113 0.6083  1 P 1.54
O 0.2739 0.4083 0.7950  1 P 1.54
O 0.5917 0.8656 0.1283  1 P 1.54
O 0.1344 0.7261 0.4616  1 P 1.54
O 0.9113 0.5932 0.7250  1 P 1.54
P 0.0000 0.4568 0.8333  4 O 1.54
P 0.4568 0.0000 0.5000  4 O 1.54
P 0.5432 0.5432 0.1667  4 O 1.54
Ga 0.0000 0.4565 0.3333  4 O 1.82-1.83
Ga 0.5435 0.5435 0.6667  4 O 1.82-1.83
Ga 0.4565 0.0000 0.0000  4 O 1.82-1.83



no.,VASP energy (eV per atom)
1,-20.847
2,-15.872
3,-15.319
4,-15.110
5,-22.711
6,-21.836
7,-20.581
8,-21.821
9,-32.201
10,-12.324
11,-12.343
12,-10.957